[1]
The following is a PBE-GGA calculation of Zr2Al5Cu2Ru after structural relaxation, from the Alexandria database.

Formation energy = -0.4432 eV per atom
Space group = No. 127
Theoretical density = 5.7 g cm⁻³

Cell and atoms, written as POSCAR:
```
Zr2Al5Cu2Ru
1.0
9.9199 0.0000 0.0000
0.0000 9.9199 0.0000
0.0000 0.0000 3.2318
Zr Al Cu Ru
4 10 4 2
Cartesian
1.7505 3.2095 0.0000 Zr
3.2095 8.1694 0.0000 Zr
6.7105 1.7505 0.0000 Zr
8.1694 6.7105 0.0000 Zr
0.0000 4.9600 1.6159 Al
0.5424 7.9795 1.6159 Al
1.9404 0.5424 1.6159 Al
3.0195 5.5024 1.6159 Al
4.4176 3.0195 1.6159 Al
4.9600 0.0000 1.6159 Al
5.5024 6.9004 1.6159 Al
6.9004 4.4176 1.6159 Al
7.9795 9.3775 1.6159 Al
9.3775 1.9404 1.6159 Al
1.2775 6.2375 0.0000 Cu
3.6824 1.2775 0.0000 Cu
6.2375 8.6424 0.0000 Cu
8.6424 3.6824 0.0000 Cu
0.0000 0.0000 0.0000 Ru
4.9600 4.9600 0.0000 Ru
```



[2]
The following is a PBE-GGA calculation of PmEuCo after structural relaxation, from the Alexandria database.

Formation energy = 0.1422 eV per atom
Space group = No. 216
Theoretical density = 7.5 g cm⁻³

Cell and atoms, written as POSCAR:
```
PmEuCo
1.0
0.0000 3.4097 3.4097
3.4097 0.0000 3.4097
3.4097 3.4097 0.0000
Pm Eu Co
1 1 1
Cartesian
0.0000 0.0000 0.0000 Pm
3.4097 3.4097 3.4097 Eu
1.7048 1.7048 1.7048 Co
```